6
Lattice="4.2443 2.4505 6.9310 -4.2443 2.4505 6.9310 0.0000 -4.9009 6.9310" Properties=species:S:1:pos:R:3 comment="Np2Ir, relaxed, DFT PBE-GGA" crystal_system=cubic magnetic_moment_mub_per_cell=16.844 formation_energy_ev_per_atom=1.5166 pbc="T T T"
Np 0.0000 0.0000 7.7974
Np 2.1222 1.2252 11.2629
Np -2.1222 1.2252 11.2629
Np 0.0000 -2.4505 11.2629
Ir 0.0000 0.0000 10.3965
Ir 0.0000 0.0000 5.1982

***

9
Lattice="5.8089 0.0000 0.0000 -2.9045 5.0307 0.0000 0.0000 0.0000 8.5214" Properties=species:S:1:pos:R:3 comment="Bi5Au4, relaxed, DFT PBE-GGA" crystal_system=hexagonal total_energy_ev_per_atom=-3.5107 pbc="T T T"
Bi 0.0000 3.3538 6.8684
Bi 2.9045 1.6769 6.8684
Bi 0.0000 3.3538 1.6530
Bi 2.9045 1.6769 1.6530
Bi 0.0000 0.0000 4.2607
Au 1.4522 2.5153 4.2607
Au 2.9045 0.0000 4.2607
Au 0.0000 0.0000 0.0000
Au -1.4522 2.5153 4.2607

***

8
Lattice="0.3880 2.6438 6.6033 -5.3940 1.8539 -4.2674 -2.9673 -4.2839 1.8895" Properties=species:S:1:pos:R:3 comment="DyEr2Lu, relaxed, DFT PBE-GGA" crystal_system=orthorhombic magnetic_moment_mub_per_cell=0.037 formation_energy_ev_per_atom=0.0001 pbc="T T T"
Er -1.5161 0.1226 1.9625
Er -3.9618 -2.1508 1.0985
Er -6.4572 0.0912 2.2629
Er -4.0115 2.3646 3.1269
Lu -3.7671 -0.8328 4.3925
Lu -4.2062 1.0466 -0.1671
Dy -1.3181 1.4411 5.2627
Dy -6.6552 -1.2273 -1.0373

***

3
Lattice="0.2374 -4.9479 0.7425 -0.2642 -1.8507 4.6470 -4.0781 -2.5108 1.4678" Properties=species:S:1:pos:R:3 comment="PmNdSi, relaxed, DFT PBE-GGA" crystal_system=cubic magnetic_moment_mub_per_cell=0.001 de_polymorph_mev_per_atom=0 pbc="T T T"
Si 0.0000 0.0000 0.0000
Pm -3.0787 -6.9820 5.1430
Nd -1.0262 -2.3273 1.7143

***

16
Lattice="-0.2902 0.8514 -6.9802 -7.0757 0.2093 0.3197 0.2569 7.3358 0.8841" Properties=species:S:1:pos:R:3 comment="ZnSbPbF, relaxed, DFT PBE-GGA" crystal_system=orthorhombic de_polymorph_mev_per_atom=83 pbc="T T T"
F -5.3374 1.1363 -4.6559
F -1.5778 3.5828 -1.5771
F -5.2844 7.2916 -0.3593
F -2.0183 4.7824 -4.9605
Zn -0.2686 3.5851 -5.1655
Zn -6.9102 7.3840 -3.8422
Zn -3.3263 4.7768 -1.3450
Zn -3.7127 1.0472 -1.2000
Sb -4.7281 3.1046 0.1271
Sb -1.5191 1.5947 -6.3902
Sb -2.1605 7.0154 -2.1544
Sb -5.8102 5.0784 -3.1352
Pb 0.1056 5.3047 -0.6460
Pb -3.6370 2.8707 -4.3353
Pb -3.5924 6.6564 -4.8462
Pb -7.0941 1.9612 -1.7252

***

3
Lattice="-3.5946 -1.3367 -0.6564 -3.0543 2.3874 0.3328 -1.9444 1.1259 -3.1766" Properties=species:S:1:pos:R:3 comment="ZnCoSi, relaxed, DFT PBE-GGA" crystal_system=cubic magnetic_moment_mub_per_cell=0.008 de_polymorph_mev_per_atom=118 pbc="T T T"
Co -2.1483 0.5441 -0.8751
Si 0.0000 0.0000 0.0000
Zn -6.4450 1.6324 -2.6252

***

4
Lattice="-2.0195 -3.9845 -0.8279 0.7525 -3.5416 2.7443 -3.3000 -1.4879 2.7452" Properties=species:S:1:pos:R:3 comment="TaTlZnCo, relaxed, DFT PBE-GGA" crystal_system=cubic magnetic_moment_mub_per_cell=1.143 de_polymorph_mev_per_atom=208 pbc="T T T"
Co -3.4253 -6.7605 3.4962
Ta -1.1418 -2.2535 1.1654
Zn -2.2835 -4.5070 2.3308
Tl 0.0000 0.0000 0.0000

***

2
Lattice="0.0000 3.3912 3.3912 3.3912 0.0000 3.3912 3.3912 3.3912 0.0000" Properties=species:S:1:pos:R:3 comment="SrOs, relaxed, DFT PBE-GGA" crystal_system=cubic magnetic_moment_mub_per_cell=2.001 total_energy_ev_per_atom=-4.0287 pbc="T T T"
Os 0.0000 0.0000 0.0000
Sr 1.6956 1.6956 1.6956

***

7
Lattice="1.8399 1.0622 7.5981 -1.8399 1.0622 7.5981 0.0000 -2.1245 7.5981" Properties=species:S:1:pos:R:3 comment="KNi4N2, relaxed, DFT PBE-GGA" crystal_system=trigonal magnetic_moment_mub_per_cell=0.043 total_energy_ev_per_atom=-5.2353 pbc="T T T"
Ni 0.0000 0.0000 10.0077
Ni 0.0000 0.0000 3.4814
Ni 0.0000 0.0000 19.3130
Ni 0.0000 0.0000 12.7867
N 0.0000 0.0000 17.4303
N 0.0000 0.0000 5.3641
K 0.0000 0.0000 0.0000

***

11
Lattice="-1.9115 7.7134 4.7511 1.9115 -7.7134 4.7511 1.9115 7.7134 -4.7511" Properties=species:S:1:pos:R:3 comment="Dy2Er2Tm2LuNi2Te2, relaxed, DFT PBE-GGA" crystal_system=orthorhombic magnetic_moment_mub_per_cell=0.006 de_polymorph_mev_per_atom=10 pbc="T T T"
Tm 1.9115 2.2499 2.1731
Tm 1.9115 -2.2499 2.1731
Er 0.0000 2.0697 5.5295
Er 1.9115 5.6437 0.7784
Dy 1.9115 2.8562 -1.1678
Dy 0.0000 4.8572 3.5833
Ni 0.0000 11.7852 0.6650
Ni 0.0000 3.6416 0.6649
Te 0.0000 0.0000 3.2171
Te 0.0000 7.7134 2.2190
Lu 0.0000 0.0000 0.0068

***

80
Lattice="2.7277 -6.8966 -7.7984 8.2524 1.1622 6.8092 -8.5397 -3.8062 5.3296" Properties=species:S:1:pos:R:3 comment="Sc3Mo2W3N12, relaxed, DFT PBE-GGA" crystal_system=cubic magnetic_moment_mub_per_cell=11.716 total_energy_ev_per_atom=-9.5818 pbc="T T T"
N 2.1268 -7.1500 -3.4333
N 0.0193 -7.4521 -5.1798
N 6.7880 -4.4696 -0.4362
N 1.3150 -1.4459 -0.6605
N -3.4785 -7.3038 -0.8937
N 3.1214 -6.5902 -0.5820
N 1.2893 -4.6743 -2.2417
N 1.1511 -4.8663 6.5821
N 5.2373 -6.2903 1.1547
N -5.6314 -6.0635 2.1030
N 1.6390 -9.1057 2.4898
N 0.3136 -2.3907 7.7738
N -3.4502 -5.0835 0.7374
N 7.4916 -6.2298 -2.4337
N -2.5612 -3.6146 7.9137
N 1.1254 -8.0947 5.0009
N 3.6632 -7.9277 3.9411
N -1.5546 -8.3744 -3.1150
N 3.9104 -1.4692 3.3296
N -1.4700 -8.0714 1.0109
N 0.8014 -0.4349 1.8505
N -5.0512 -3.3108 6.7741
N 1.9449 -3.8839 0.4541
N 8.0719 -3.4771 2.2374
N 4.6016 -3.2330 1.3310
N 0.4955 -5.6567 3.8863
N 1.0215 -6.6640 1.3764
N -4.3476 -5.0710 4.7767
N 5.9190 -2.2368 5.2341
N 5.8906 -4.4571 3.6030
N 3.9950 -1.1662 7.4554
N -2.7969 -3.2503 3.1857
N 0.5568 -8.0844 -1.3711
N 3.3361 -3.8984 5.2139
N 1.8836 -1.4562 5.7115
N 8.1081 -1.2629 3.8767
N -0.5969 -4.0569 1.5031
N 5.0016 -5.9260 -3.5733
N -0.6810 -2.9504 4.9224
N 2.4211 -2.0885 9.5202
N 1.4189 -2.8766 2.9640
N 3.0373 -5.4838 2.8373
N -1.8621 -5.3846 5.9234
N 4.3025 -4.1560 -1.5829
N -5.6677 -8.2777 0.4637
N -2.1612 -6.3076 3.0094
N -0.8957 -5.6421 -0.8735
N -1.2227 -1.6129 0.3993
Mo 5.4900 -2.8672 -0.4946
Mo 0.0000 0.0000 0.0000
Mo 1.2202 -4.7703 2.1702
Mo 1.3639 -3.4483 -3.8992
Mo -2.9060 -5.3514 -1.2344
Mo -4.2698 -1.9031 2.6648
Mo 4.1262 0.5811 3.4046
Mo -0.1437 -1.3220 6.0694
W 8.1991 -4.6313 0.7755
W -0.1969 -7.1155 0.0357
W 2.6645 -4.8261 -0.9881
W 4.6917 -4.8660 2.2315
W -2.9865 -8.7439 -1.9753
W -2.2513 -4.6746 2.1089
W 5.4269 -0.7967 6.3157
W 2.6373 -2.4251 4.3048
W -5.7587 -4.9093 3.5649
W 3.3824 -6.2197 -4.4551
W -0.2241 -4.7145 5.3285
W -0.9420 -3.3209 8.7955
Sc -0.2687 -7.7765 3.0703
Sc 6.1447 -2.1903 2.8487
Sc -0.7983 -1.9989 2.7261
Sc -3.7043 -7.3503 1.4917
Sc 2.5655 -3.0861 7.3394
Sc 3.2387 -7.5417 1.6143
Sc 2.7091 -1.7641 1.2701
Sc -0.0805 -3.3925 -0.7408
Sc 5.4096 -6.2597 -1.2354
Sc -0.1250 -6.4545 -2.9990
Sc -2.9691 -3.2809 5.5758
Sc 2.5209 -6.1481 5.0812

***

4
Lattice="0.0000 2.8296 2.8296 2.8296 0.0000 2.8296 2.8296 2.8296 0.0000" Properties=species:S:1:pos:R:3 comment="ZnTcNiB, relaxed, DFT PBE-GGA" crystal_system=cubic magnetic_moment_mub_per_cell=0.812 de_polymorph_mev_per_atom=80 pbc="T T T"
Ni 2.8296 2.8296 2.8296
Zn 4.2444 4.2444 4.2444
Tc 1.4148 1.4148 1.4148
B 0.0000 0.0000 0.0000

***

20
Lattice="-5.4293 -2.4890 1.5588 1.6967 0.0093 5.9246 -4.0537 9.5599 1.1459" Properties=species:S:1:pos:R:3 comment="BaPrO3, relaxed, DFT PBE-GGA" crystal_system=orthorhombic magnetic_moment_mub_per_cell=4.009 total_energy_ev_per_atom=-6.7549 pbc="T T T"
O -5.0549 1.8483 3.2094
O -2.7315 5.2319 5.4199
O -3.3717 5.3226 2.3978
O -6.6537 5.3773 3.0325
O -3.3335 -0.7921 5.9258
O -4.4146 1.7575 6.2314
O -1.1327 1.7029 5.5968
O -6.1215 5.2370 6.0856
O -4.4528 7.8723 2.7034
O -1.6649 1.8432 2.5437
O -3.9737 -0.7014 2.9038
O -3.8126 7.7815 5.7255
Pr -3.1272 1.0119 4.3055
Pr -6.0861 0.0397 1.9491
Pr -4.6591 6.0682 4.3238
Pr -1.7002 7.0405 6.6802
Ba -1.1785 4.7846 3.5353
Ba -4.7415 3.5354 1.3523
Ba 0.8483 0.0047 2.9623
Ba -2.7147 -1.2445 0.7794

***

6
Lattice="-3.9905 -6.3223 -2.7106 1.3890 -7.1989 3.0804 -5.4894 -3.4961 4.5701" Properties=species:S:1:pos:R:3 comment="Re2As, relaxed, DFT PBE-GGA" crystal_system=cubic magnetic_moment_mub_per_cell=14.783 total_energy_ev_per_atom=-6.2502 pbc="T T T"
Re -2.3396 -9.9810 3.3927
Re -5.0293 -9.5427 0.4971
Re -3.0341 -6.3815 1.8525
Re -5.7788 -8.1296 4.1375
As -4.0455 -8.5087 2.4699
As -2.0227 -4.2544 1.2350

***

10
Lattice="0.0000 5.3453 5.3453 5.3453 0.0000 5.3453 5.3453 5.3453 0.0000" Properties=species:S:1:pos:R:3 comment="K2PtAuBr6, relaxed, DFT PBE-GGA" crystal_system=cubic magnetic_moment_mub_per_cell=0.005 total_energy_ev_per_atom=-2.9403 pbc="T T T"
Au 0.0000 0.0000 0.0000
Br 5.3453 5.3453 7.9224
Br 2.7682 5.3453 5.3453
Br 7.9224 5.3453 5.3453
Br 5.3453 5.3453 2.7682
Br 5.3453 2.7682 5.3453
Br 5.3453 7.9224 5.3453
K 8.0179 8.0179 8.0179
K 2.6726 2.6726 2.6726
Pt 5.3453 5.3453 5.3453

***

3
Lattice="0.5800 -1.1166 4.7617 -3.9308 -0.3251 2.9497 -1.4511 -4.3910 1.6942" Properties=species:S:1:pos:R:3 comment="KTaAl, relaxed, DFT PBE-GGA" crystal_system=cubic magnetic_moment_mub_per_cell=1.302 de_polymorph_mev_per_atom=741 pbc="T T T"
K 0.0000 0.0000 0.0000
Al -1.2005 -1.4582 2.3514
Ta -3.6014 -4.3745 7.0542

***

3
Lattice="0.0000 3.7745 3.7745 3.7745 0.0000 3.7745 3.7745 3.7745 0.0000" Properties=species:S:1:pos:R:3 comment="PmTmNp, relaxed, DFT PBE-GGA" crystal_system=cubic magnetic_moment_mub_per_cell=5.015 de_polymorph_mev_per_atom=0 formation_energy_ev_per_atom=1.1552 pbc="T T T"
Np 1.8872 1.8872 1.8872
Pm 5.6617 5.6617 5.6617
Tm 0.0000 0.0000 0.0000

***

3
Lattice="0.0000 3.8450 3.8450 3.8450 0.0000 3.8450 3.8450 3.8450 0.0000" Properties=species:S:1:pos:R:3 comment="CsBaPt, relaxed, DFT PBE-GGA" crystal_system=cubic magnetic_moment_mub_per_cell=0.278 total_energy_ev_per_atom=-2.6383 pbc="T T T"
Ba 1.9225 1.9225 1.9225
Cs 0.0000 0.0000 0.0000
Pt 5.7674 5.7674 5.7674

***

6
Lattice="-5.1603 -0.3845 2.1720 3.4106 -4.4562 0.0642 1.4235 1.1411 3.5838" Properties=species:S:1:pos:R:3 comment="NdAlGaPt3, relaxed, DFT PBE-GGA" crystal_system=hexagonal magnetic_moment_mub_per_cell=0.003 total_energy_ev_per_atom=-5.9489 pbc="T T T"
Pt 0.1062 -3.4050 3.2982
Pt 0.9867 -0.9689 2.1728
Pt 2.7032 -3.2115 2.2051
Ga 0.5536 -3.0990 0.7668
Al 0.0000 0.0000 0.0000
Nd -2.3033 -1.7417 1.4694

***

9
Lattice="9.2353 0.0000 0.0000 -4.6176 7.9980 0.0000 0.0000 0.0000 3.7920" Properties=species:S:1:pos:R:3 comment="Y5Ho3Te, relaxed, DFT PBE-GGA" crystal_system=hexagonal magnetic_moment_mub_per_cell=0.112 de_polymorph_mev_per_atom=4 pbc="T T T"
Ho 3.3518 5.8054 1.8960
Ho -1.2659 2.1926 1.8960
Ho 2.5317 0.0000 1.8960
Y 5.6951 0.0000 0.0000
Y 0.0000 5.3320 1.8960
Y 4.6177 2.6660 1.8960
Y -2.8475 4.9321 0.0000
Y 1.7701 3.0659 0.0000
Te 0.0000 0.0000 0.0000

***

10
Lattice="-2.9591 2.9591 4.1886 2.9591 -2.9591 4.1886 2.9591 2.9591 -4.1886" Properties=species:S:1:pos:R:3 comment="Ba2InTcN6, relaxed, DFT PBE-GGA" crystal_system=cubic magnetic_moment_mub_per_cell=0.264 total_energy_ev_per_atom=-6.2946 pbc="T T T"
N 0.0000 0.0000 6.1534
N 1.3892 1.3892 4.1886
N -1.3892 1.3892 4.1886
N 1.5699 1.5699 0.0000
N 0.0000 0.0000 2.2238
N 1.3892 -1.3892 4.1886
In 0.0000 0.0000 0.0000
Tc 0.0000 0.0000 4.1886
Ba 0.0000 2.9591 2.0943
Ba 2.9591 0.0000 2.0943

***

8
Lattice="3.5878 0.0000 0.0000 -1.7939 3.1071 0.0000 0.0000 0.0000 14.8834" Properties=species:S:1:pos:R:3 comment="TmLuSbC, relaxed, DFT PBE-GGA" crystal_system=hexagonal magnetic_moment_mub_per_cell=0.009 total_energy_ev_per_atom=-6.2832 pbc="T T T"
C 0.0000 0.0000 11.1458
C 0.0000 0.0000 3.7376
Lu 0.0000 2.0714 9.8809
Lu 0.0000 2.0714 5.0025
Sb 1.7939 1.0357 7.4417
Sb 0.0000 2.0714 0.0000
Tm 1.7939 1.0357 2.4342
Tm 1.7939 1.0357 12.4491